w | Material: Ir2WAu
Method: DFT, PBE
State: optimized geometry

Output
Crystal system   monoclinic

Geometry as POSCAR:
```
Ir2WAu
1.0
2.761 0.000 0.000
0.000 4.661 0.000
-0.122 0.000 4.939
Ir W Au
2 1 1
direct
0.238 0.000 0.257
0.762 0.000 0.743
0.000 0.500 0.500
0.500 0.500 0.000
```

=====

x | Material: Ir2WAu
Method: DFT, PBE
State: optimized geometry

Output
Crystal system   monoclinic

Geometry as POSCAR:
```
Ir2WAu
1.0
9.299 0.000 0.000
0.000 2.801 0.000
-0.850 0.000 4.803
Ir W Au
4 2 2
direct
0.242 0.000 0.233
0.258 0.500 0.767
0.742 0.500 0.233
0.758 0.000 0.767
0.000 0.500 0.000
0.500 0.000 0.000
0.000 0.000 0.500
0.500 0.500 0.500
```

=====

y | Material: Ir2WAu
Method: DFT, PBE
State: optimized geometry

Output
Crystal system   tetragonal

Geometry as POSCAR:
```
Ir2WAu
1.0
3.901 0.000 0.000
0.000 3.901 0.000
0.000 0.000 8.178
Ir W Au
4 2 2
direct
0.000 0.000 0.000
0.000 0.500 0.250
0.500 0.000 0.750
0.500 0.500 0.500
0.000 0.000 0.500
0.500 0.500 0.000
0.000 0.500 0.750
0.500 0.000 0.250
```

=====

z | Material: Ir2WAu
Method: DFT, PBE
State: optimized geometry

Output
Crystal system   trigonal

Geometry as POSCAR:
```
Ir2WAu
1.0
2.795 0.000 0.000
-1.397 2.420 0.000
0.000 0.000 27.914
Ir W Au
6 3 3
direct
0.000 0.000 0.000
0.000 0.000 0.252
0.333 0.667 0.667
0.333 0.667 0.919
0.667 0.333 0.333
0.667 0.333 0.585
0.000 0.000 0.508
0.333 0.667 0.174
0.667 0.333 0.841
0.000 0.000 0.753
0.333 0.667 0.420
0.667 0.333 0.087
```

=====

Stability ranking, top and bottom: x is the most stable and w is the least stable.

=====

w | Material: Ir2WAu
Method: DFT, PBE
State: optimized geometry

Output
Crystal system   cubic

Geometry as POSCAR:
```
Ir2WAu
1.0
6.336 0.000 0.000
0.000 6.336 0.000
0.000 0.000 6.336
Ir W Au
8 4 4
direct
0.250 0.250 0.250
0.250 0.250 0.750
0.250 0.750 0.250
0.250 0.750 0.750
0.750 0.250 0.250
0.750 0.250 0.750
0.750 0.750 0.250
0.750 0.750 0.750
0.000 0.000 0.000
0.000 0.500 0.500
0.500 0.000 0.500
0.500 0.500 0.000
0.000 0.000 0.500
0.000 0.500 0.000
0.500 0.000 0.000
0.500 0.500 0.500
```

=====

x | Material: Ir2WAu
Method: DFT, PBE
State: optimized geometry

Output
Crystal system   orthorhombic

Geometry as POSCAR:
```
Ir2WAu
1.0
2.876 0.000 0.000
0.000 4.706 0.000
0.000 0.000 9.523
Ir W Au
4 2 2
direct
0.000 0.000 0.234
0.000 0.000 0.766
0.500 0.500 0.234
0.500 0.500 0.766
0.000 0.500 0.000
0.500 0.000 0.000
0.000 0.500 0.500
0.500 0.000 0.500
```

=====

Stability ranking, top and bottom: x is the most stable and w is the least stable.

=====

w | Material: IrWAu2
Method: DFT, PBE
State: optimized geometry

Output
Crystal system   tetragonal

Geometry as POSCAR:
```
IrWAu2
1.0
3.952 0.000 0.000
0.000 3.952 0.000
0.000 0.000 4.225
Ir W Au
1 1 2
direct
0.000 0.000 0.000
0.500 0.500 0.000
0.000 0.500 0.500
0.500 0.000 0.500
```

=====

x | Material: IrWAu2
Method: DFT, PBE
State: optimized geometry

Output
Crystal system   monoclinic

Geometry as POSCAR:
```
IrWAu2
1.0
9.607 0.000 0.000
0.000 2.873 0.000
-0.815 0.000 4.745
Ir W Au
2 2 4
direct
0.000 0.000 0.000
0.500 0.500 0.000
0.000 0.500 0.500
0.500 0.000 0.500
0.247 0.000 0.746
0.253 0.500 0.254
0.747 0.500 0.746
0.753 0.000 0.254
```

=====

Stability ranking, top and bottom: x is the most stable and w is the least stable.

=====

w | Material: IrWAu2
Method: DFT, PBE
State: optimized geometry

Output
Crystal system   trigonal

Geometry as POSCAR:
```
IrWAu2
1.0
2.846 0.000 0.000
-1.423 2.465 0.000
0.000 0.000 28.186
Ir W Au
3 3 6
direct
0.000 0.000 0.000
0.333 0.667 0.667
0.667 0.333 0.333
0.000 0.000 0.500
0.333 0.667 0.167
0.667 0.333 0.833
0.000 0.000 0.249
0.000 0.000 0.751
0.333 0.667 0.417
0.333 0.667 0.916
0.667 0.333 0.084
0.667 0.333 0.583
```

=====

x | Material: IrWAu2
Method: DFT, PBE
State: optimized geometry

Output
Crystal system   orthorhombic

Geometry as POSCAR:
```
IrWAu2
1.0
2.839 0.000 0.000
0.000 4.754 0.000
0.000 0.000 9.926
Ir W Au
2 2 4
direct
0.000 0.000 0.000
0.500 0.500 0.500
0.000 0.000 0.500
0.500 0.500 0.000
0.000 0.500 0.248
0.000 0.500 0.752
0.500 0.000 0.252
0.500 0.000 0.748
```

=====

Stability ranking, top and bottom: w is the most stable and x is the least stable.

=====

w | Material: Ir2W2Au
Method: DFT, PBE
State: optimized geometry

Output
Crystal system   tetragonal

Geometry as POSCAR:
```
Ir2W2Au
1.0
7.690 0.000 0.000
0.000 7.690 0.000
0.000 0.000 2.786
Ir W Au
4 4 2
direct
0.127 0.373 0.000
0.373 0.873 0.000
0.627 0.127 0.000
0.873 0.627 0.000
0.166 0.666 0.500
0.334 0.166 0.500
0.666 0.834 0.500
0.834 0.334 0.500
0.000 0.000 0.000
0.500 0.500 0.000
```

=====

x | Material: Ir2W2Au
Method: DFT, PBE
State: optimized geometry

Output
Crystal system   tetragonal

Geometry as POSCAR:
```
Ir2W2Au
1.0
3.864 0.000 0.000
0.000 3.864 0.000
0.000 0.000 11.979
Ir W Au
4 4 2
direct
0.000 0.500 0.250
0.000 0.500 0.750
0.500 0.000 0.250
0.500 0.000 0.750
0.000 0.000 0.108
0.000 0.000 0.892
0.500 0.500 0.392
0.500 0.500 0.608
0.000 0.000 0.500
0.500 0.500 0.000
```

=====

Stability ranking, top and bottom: w is the most stable and x is the least stable.

=====

w | Material: Ir3WAu
Method: DFT, PBE
State: optimized geometry

Output
Crystal system   cubic

Geometry as POSCAR:
```
Ir3WAu
1.0
4.741 0.000 0.000
0.000 4.741 0.000
0.000 0.000 4.741
Ir W Au
3 1 1
direct
0.000 0.000 0.500
0.000 0.500 0.000
0.500 0.000 0.000
0.500 0.500 0.500
0.000 0.000 0.000
```

=====

x | Material: Ir3WAu
Method: DFT, PBE
State: optimized geometry

Output
Crystal system   cubic

Geometry as POSCAR:
```
Ir3WAu
1.0
4.736 0.000 0.000
0.000 4.736 0.000
0.000 0.000 4.736
Ir W Au
3 1 1
direct
0.000 0.000 0.500
0.000 0.500 0.000
0.500 0.000 0.000
0.000 0.000 0.000
0.500 0.500 0.500
```

=====

Stability ranking, top and bottom: x is the most stable and w is the least stable.